PrAlCdNi | PBE-GGA | relaxed

a b c (Å): 5.4157 5.4157 7.6103
angles (deg): 90.00 90.00 133.54
Atoms (fractional coordinates):
Pr 0.0604 0.9396 0.5000
Pr 0.9396 0.0604 0.0000
Al 0.3388 0.6612 0.7049
Al 0.6612 0.3388 0.2049
Cd 0.3566 0.6434 0.3146
Cd 0.6434 0.3566 0.8146
Ni 0.2223 0.7777 0.0143
Ni 0.7777 0.2223 0.5143

Output
**Crystal system**: orthorhombic
**Total DFT energy (no corrections)**: -33.1 eV per cell